An optimized crystal structure of NpPtPb2O6. Source: Alexandria, functional GGA-PBE.

Output
- Crystal system: monoclinic
- Volume: 15.493 Å³ per atom
- Space-group type: C2/m (12)
- Uncorrected formation energy: -1590 kJ/mol of formula units

a = 6.2709 Å, b = 6.2709 Å, c = 5.0627 Å
α = 105.54°, β = 105.54°, γ = 54.71°
Fractional coordinates of all 10 atoms:
Np (0.0000, 0.0000, 0.0000)
Pt (0.5000, 0.5000, 0.5000)
Pb (0.2747, 0.2747, 0.7876)
Pb (0.7253, 0.7253, 0.2124)
O (0.1642, 0.1642, 0.2753)
O (0.1784, 0.6558, 0.2049)
O (0.3442, 0.8216, 0.7951)
O (0.6558, 0.1784, 0.2049)
O (0.8216, 0.3442, 0.7951)
O (0.8358, 0.8358, 0.7247)

***

An optimized crystal structure of CeThNi2P2. Source: Alexandria, functional GGA-PBE.

Output
- Crystal system: trigonal
- Volume: 18.085 Å³ per atom
- Formation energy from the elements: -1.20 eV/atom
- Space-group type: P-3m1 (164)

a = 3.9515 Å, b = 3.9515 Å, c = 8.0244 Å
α = 90.00°, β = 90.00°, γ = 120.00°
Fractional coordinates of all 6 atoms:
Ce (0.0000, 0.0000, 0.0000)
Th (0.0000, 0.0000, 0.5000)
Ni (0.3333, 0.6667, 0.2543)
Ni (0.6667, 0.3333, 0.7457)
P (0.3333, 0.6667, 0.7590)
P (0.6667, 0.3333, 0.2410)

***

Looking at density for the records above, in order, we have 10.1, 8.4 g cm⁻³.
Looking at total magnetic moment for the records above, in order, we have 0.99, 0.33 μB/f.u..